A relaxed Ta3Ge2H crystal, computed with PBE.

a b c (Å): 12.409 5.153 5.749
angles (deg): 90.00 101.20 90.00
Space group C2/c (No. 15)
Symmetry-distinct sites (fractional):
Ta1 0.000 0.013 0.250 [4 per cell]
Ta2 0.112 0.482 0.091 [8 per cell]
Ge1 0.192 0.022 0.586 [8 per cell]
H1 0.000 0.371 0.750 [4 per cell]


A relaxed Ta6GeH crystal, computed with PBE.

a b c (Å): 5.034 5.698 5.854
angles (deg): 67.27 68.98 64.45
Space group P-1 (No. 2)
Symmetry-distinct sites (fractional):
Ta1 0.039 0.240 0.214 [2 per cell]
Ta2 0.311 0.056 0.750 [2 per cell]
Ta3 0.446 0.610 0.191 [2 per cell]
Ge1 0.000 0.500 0.500 [1 per cell]
H1 0.500 0.000 0.000 [1 per cell]


A relaxed Ta2TcGeH crystal, computed with PBE.

a b c (Å): 4.147 4.147 3.931
angles (deg): 90.00 90.00 90.00
Space group P4/mmm (No. 123)
Symmetry-distinct sites (fractional):
Ta1 0.000 0.500 0.000 [2 per cell]
Tc1 0.000 0.000 0.500 [1 per cell]
Ge1 0.500 0.500 0.500 [1 per cell]
H1 0.000 0.000 0.000 [1 per cell]


A relaxed TaTi2GeH crystal, computed with PBE.

a b c (Å): 4.209 4.209 3.802
angles (deg): 90.00 90.00 90.00
Space group P4/mmm (No. 123)
Symmetry-distinct sites (fractional):
Ta1 0.000 0.000 0.000 [1 per cell]
Ti1 0.000 0.500 0.500 [2 per cell]
Ge1 0.500 0.500 0.000 [1 per cell]
H1 0.000 0.000 0.500 [1 per cell]


A relaxed Ta2TiGeH crystal, computed with PBE.

a b c (Å): 4.057 4.057 4.219
angles (deg): 90.00 90.00 90.00
Space group P4/mmm (No. 123)
Symmetry-distinct sites (fractional):
Ta1 0.000 0.500 0.000 [2 per cell]
Ti1 0.000 0.000 0.500 [1 per cell]
Ge1 0.500 0.500 0.500 [1 per cell]
H1 0.000 0.000 0.000 [1 per cell]


A relaxed TaTlGeH2 crystal, computed with PBE.

a b c (Å): 3.874 3.874 6.125
angles (deg): 90.00 90.00 90.00
Space group P4/mmm (No. 123)
Symmetry-distinct sites (fractional):
Ta1 0.000 0.000 0.000 [1 per cell]
Tl1 0.500 0.500 0.000 [1 per cell]
Ge1 0.500 0.500 0.500 [1 per cell]
H1 0.000 0.500 0.500 [2 per cell]


A relaxed TbGeH crystal, computed with PBE.

Output
Energy above the most stable polymorph in this dataset = 242 meV per atom

a b c (Å): 3.6051 3.6051 4.7002
angles (deg): 90.00 90.00 120.00
Space group P-6m2 (No. 187)
Symmetry-distinct sites (fractional):
Tb1 0.0000 0.0000 0.0000 [1 per cell]
Ge1 0.6667 0.3333 0.5000 [1 per cell]
H1 0.3333 0.6667 0.0000 [1 per cell]


A relaxed Tb3GeH crystal, computed with PBE.

a b c (Å): 6.423 3.930 9.028
angles (deg): 90.00 100.37 90.00
Space group P2_1/m (No. 11)
Symmetry-distinct sites (fractional):
Tb1 0.083 0.250 0.343 [2 per cell]
Tb2 0.275 0.750 0.069 [2 per cell]
Tb3 0.400 0.750 0.633 [2 per cell]
Ge1 0.216 0.250 0.830 [2 per cell]
H1 0.336 0.750 0.349 [2 per cell]


A relaxed Tb2GeH crystal, computed with PBE.

Output
Energy above the most stable polymorph in this dataset = 0 meV per atom

a b c (Å): 4.015 6.255 13.021
angles (deg): 90.00 90.00 90.00
Space group Immm (No. 71)
Symmetry-distinct sites (fractional):
Tb1 0.000 0.000 0.200 [4 per cell]
Tb2 0.000 0.235 0.500 [4 per cell]
Ge1 0.000 0.500 0.138 [4 per cell]
H1 0.000 0.500 0.389 [4 per cell]


A relaxed TbGeH crystal, computed with PBE.

Output
Energy above the most stable polymorph in this dataset = 0 meV per atom

a b c (Å): 4.067 4.001 6.135
angles (deg): 90.00 109.35 90.00
Space group P2_1/m (No. 11)
Symmetry-distinct sites (fractional):
Tb1 0.148 0.250 0.298 [2 per cell]
Ge1 0.435 0.250 0.868 [2 per cell]
H1 0.254 0.750 0.509 [2 per cell]


A relaxed Tb12Ge3H5 crystal, computed with PBE.

a b c (Å): 15.289 15.289 15.289
angles (deg): 90.00 90.00 90.00
Space group Ia-3d (No. 230)
Symmetry-distinct sites (fractional):
Tb1 0.038 0.059 0.653 [96 per cell]
Ge1 0.000 0.250 0.125 [24 per cell]
H1 0.000 0.000 0.000 [16 per cell]
H2 0.000 0.250 0.375 [24 per cell]


A relaxed Tb4Ge2H crystal, computed with PBE.

Output
Energy above the most stable polymorph in this dataset = 0 meV per atom

a b c (Å): 6.245 6.448 8.518
angles (deg): 90.00 109.60 90.00
Space group P2_1/m (No. 11)
Symmetry-distinct sites (fractional):
Tb1 0.013 0.000 0.265 [4 per cell]
Tb2 0.405 0.250 0.090 [2 per cell]
Tb3 0.429 0.250 0.620 [2 per cell]
Ge1 0.210 0.750 0.046 [2 per cell]
Ge2 0.258 0.750 0.571 [2 per cell]
H1 0.248 0.250 0.811 [2 per cell]


| no. | calculated total energy (eV per atom) |
| --- | --- |
| 1 | -8.05 |
| 2 | -9.61 |
| 3 | -8.48 |
| 4 | -7.49 |
| 5 | -8.13 |
| 6 | -3.97 |
| 7 | -4.71 |
| 8 | -4.84 |
| 9 | -5.00 |
| 10 | -4.95 |
| 11 | -4.71 |
| 12 | -5.11 |